No. 1
The following is a PBE-GGA calculation of La4Sm2Ho3 after structural relaxation, from Alexandria via LeMat-Bulk.

Properties
total magnetization: 0.00 μB/atom
energy relative to the elements: 0.122 eV/atom
uncorrected energy: -41.779 eV per formula unit

Lattice parameters (Å, degrees): 9.3275 9.3275 3.7023 90.41 90.41 78.12
Fractional positions:
La  0.1178  0.6244  0.7218
La  0.3756  0.8822  0.2782
La  0.6244  0.1178  0.7218
La  0.8822  0.3756  0.2782
Sm  0.2102  0.2102  0.7196
Sm  0.7898  0.7898  0.2804
Ho  0.0000  0.0000  0.0000
Ho  0.4069  0.4069  0.2349
Ho  0.5931  0.5931  0.7651

No. 2
The following is a PBE-GGA calculation of Y2InTe after structural relaxation, from Alexandria via LeMat-Bulk.

Properties
total magnetization: 0.00 μB/atom
uncorrected energy: -21.948 eV per formula unit
polymorph energy (0 for the lowest one): 3.76 kcal/mol of atoms

Lattice parameters (Å, degrees): 8.7818 8.7818 8.7818 26.61 26.61 26.61
Fractional positions:
Y  0.0000  0.0000  0.0000
Y  0.1771  0.1771  0.1771
In  0.4214  0.4214  0.4214
Te  0.5895  0.5895  0.5895

No. 3
The following is a PBE-GGA calculation of AuSeBr2N after structural relaxation, from Alexandria via LeMat-Bulk.

Properties
total magnetization: 0.28 μB/atom
uncorrected energy: -10.396 eV per formula unit
polymorph energy (0 for the lowest one): 10.16 kcal/mol of atoms

Lattice parameters (Å, degrees): 5.1942 5.1942 5.1988 90.00 90.00 90.00
Fractional positions:
Au  0.0000  0.0000  0.0000
Se  0.0000  0.0000  0.5000
Br  0.0000  0.5000  0.0000
Br  0.5000  0.0000  0.0000
N  0.5000  0.5000  0.5000

No. 4
The following is a PBE-GGA calculation of Dy3Sn4Rh8 after structural relaxation, from Alexandria via LeMat-Bulk.

Properties
total magnetization: 0.00 μB/atom
energy relative to the elements: -0.691 eV/atom
uncorrected energy: -98.996 eV per formula unit

Lattice parameters (Å, degrees): 9.2217 9.2217 9.2217 60.00 60.00 60.00
Fractional positions:
Dy  0.2308  0.2308  0.7692
Dy  0.2308  0.7692  0.2308
Dy  0.2308  0.7692  0.7692
Dy  0.7692  0.2308  0.2308
Dy  0.7692  0.2308  0.7692
Dy  0.7692  0.7692  0.2308
Sn  0.0000  0.0000  0.0000
Sn  0.0000  0.0000  0.5000
Sn  0.0000  0.5000  0.0000
Sn  0.0000  0.5000  0.5000
Sn  0.5000  0.0000  0.0000
Sn  0.5000  0.0000  0.5000
Sn  0.5000  0.5000  0.0000
Sn  0.5000  0.5000  0.5000
Rh  0.1363  0.6212  0.6212
Rh  0.1696  0.1696  0.1696
Rh  0.1696  0.1696  0.4911
Rh  0.1696  0.4911  0.1696
Rh  0.3788  0.3788  0.3788
Rh  0.3788  0.3788  0.8637
Rh  0.3788  0.8637  0.3788
Rh  0.4911  0.1696  0.1696
Rh  0.5089  0.8304  0.8304
Rh  0.6212  0.1363  0.6212
Rh  0.6212  0.6212  0.1363
Rh  0.6212  0.6212  0.6212
Rh  0.8304  0.5089  0.8304
Rh  0.8304  0.8304  0.5089
Rh  0.8304  0.8304  0.8304
Rh  0.8637  0.3788  0.3788

No. 5
The following is a PBE-GGA calculation of HfCu2Ru after structural relaxation, from Alexandria via LeMat-Bulk.

Properties
total magnetization: 0.00 μB/atom
energy relative to the elements: -0.054 eV/atom
uncorrected energy: -27.637 eV per formula unit
polymorph energy (0 for the lowest one): 5.25 kcal/mol of atoms

Lattice parameters (Å, degrees): 4.3620 4.3620 4.3620 60.00 60.00 60.00
Fractional positions:
Hf  0.0000  0.0000  0.0000
Cu  0.2500  0.2500  0.2500
Cu  0.7500  0.7500  0.7500
Ru  0.5000  0.5000  0.5000

No. 6
The following is a PBE-GGA calculation of Pm8Co3Au2 after structural relaxation, from Alexandria via LeMat-Bulk.

Properties
total magnetization: 0.00 μB/atom
energy relative to the elements: -0.211 eV/atom
uncorrected energy: -68.619 eV per formula unit

Lattice parameters (Å, degrees): 7.5979 4.0327 12.7859 90.00 103.88 90.00
Fractional positions:
Pm  0.0863  0.0000  0.3740
Pm  0.1479  0.5000  0.8782
Pm  0.3417  0.5000  0.6378
Pm  0.4127  0.0000  0.1200
Pm  0.5873  0.0000  0.8800
Pm  0.6583  0.5000  0.3622
Pm  0.8521  0.5000  0.1218
Pm  0.9137  0.0000  0.6260
Co  0.0000  0.5000  0.5000
Co  0.2549  0.0000  0.7667
Co  0.7451  0.0000  0.2333
Au  0.2511  0.5000  0.2415
Au  0.7489  0.5000  0.7585

No. 7
The following is a PBE-GGA calculation of KSr3Tl4 after structural relaxation, from Alexandria via LeMat-Bulk.

Properties
total magnetization: 0.00 μB/atom
energy relative to the elements: -0.314 eV/atom
uncorrected energy: -18.122 eV per formula unit

Lattice parameters (Å, degrees): 10.0990 10.0990 10.0990 33.52 33.52 33.52
Fractional positions:
K  0.0000  0.0000  0.0000
Sr  0.2510  0.2510  0.2510
Sr  0.5000  0.5000  0.5000
Sr  0.7490  0.7490  0.7490
Tl  0.1258  0.1258  0.1258
Tl  0.3763  0.3763  0.3763
Tl  0.6237  0.6237  0.6237
Tl  0.8742  0.8742  0.8742

No. 8
The following is a PBE-GGA calculation of LiAlO2 after structural relaxation, from Alexandria via LeMat-Bulk.

Properties
total magnetization: 0.00 μB/atom
uncorrected energy: -26.505 eV per formula unit

Lattice parameters (Å, degrees): 5.2301 5.2301 6.3267 90.00 90.00 90.00
Fractional positions:
Li  0.1861  0.1861  0.0000
Li  0.3139  0.6861  0.2500
Li  0.6861  0.3139  0.7500
Li  0.8139  0.8139  0.5000
Al  0.1767  0.1767  0.5000
Al  0.3233  0.6767  0.7500
Al  0.6767  0.3233  0.2500
Al  0.8233  0.8233  0.0000
O  0.1619  0.7909  0.9774
O  0.2091  0.8381  0.5226
O  0.2909  0.3381  0.7274
O  0.3381  0.2909  0.2726
O  0.6619  0.7091  0.7726
O  0.7091  0.6619  0.2274
O  0.7909  0.1619  0.0226
O  0.8381  0.2091  0.4774

No. 9
The following is a PBE-GGA calculation of TiHgSb2 after structural relaxation, from Alexandria via LeMat-Bulk.

Properties
total magnetization: 0.00 μB/atom
uncorrected energy: -15.856 eV per formula unit

Lattice parameters (Å, degrees): 7.9148 7.9148 7.9148 132.28 132.28 69.79
Fractional positions:
Ti  0.0000  0.0000  0.0000
Ti  0.7500  0.2500  0.5000
Hg  0.2500  0.7500  0.5000
Hg  0.5000  0.5000  0.0000
Sb  0.0982  0.6250  0.9732
Sb  0.3750  0.3482  0.4732
Sb  0.6518  0.1250  0.0268
Sb  0.8750  0.9018  0.5268